Record 1
SrTiTeN2 | PBE-GGA | optimized geometry

Output
Excess energy over the best structure of this formula in the dataset, meV per atom: 1754
Energy, eV per atom: -4.3121
D(E_F), states/eV per cell: 7.53
ΔE_f (raw), eV per formula unit: 7.81

abc: 4.3483 4.3483 6.2272
angles: 90.00 90.00 90.00
Last column: nearest neighbours and their distance in Å.
Element x y z (fractional)
Sr (0.0000, 0.0000, 0.0000)  4 N 2.17
Ti (0.5000, 0.5000, 0.5000)  4 Te 3.07
Te (0.0000, 0.0000, 0.5000)  4 Ti 3.07, 2 Sr 3.11
N (0.0000, 0.5000, 0.0000)  2 Sr 2.17
N (0.5000, 0.0000, 0.0000)  2 Sr 2.17


Record 2
KZrTa2 | PBE-GGA | optimized geometry

Output
Excess energy over the best structure of this formula in the dataset, meV per atom: 748
E_form, eV per atom: 1.289
Energy, eV per atom: -7.0487
D(E_F), states/eV per cell: 3.72

abc: 3.8071 4.4406 5.1565
angles: 90.00 90.00 90.00
Last column: nearest neighbours and their distance in Å.
Element x y z (fractional)
K (0.0000, 0.0000, 0.0000)  4 Zr 2.92, 4 Ta 3.20
Zr (0.5000, 0.5000, 0.0000)  4 K 2.92, 4 Ta 3.20
Ta (0.0000, 0.5000, 0.5000)  4 Ta 2.92, 4 Zr 3.20
Ta (0.5000, 0.0000, 0.5000)  4 Ta 2.92, 4 K 3.20


Record 3
ScCd2Ir | PBE-GGA | optimized geometry

Output
E_form, eV per atom: -0.354
Energy, eV per atom: -4.6100
D(E_F), states/eV per cell: 1.36

abc: 3.1268 3.1475 8.0603
angles: 90.00 90.21 90.00
Last column: nearest neighbours and their distance in Å.
Element x y z (fractional)
Sc (0.0000, 0.0000, 0.0000)  4 Ir 2.69-2.70
Cd (0.0032, 0.0000, 0.4245)  4 Ir 2.91-2.92, 8 Cd 3.13-3.17
Cd (0.4978, 0.5000, 0.7032)  8 Cd 3.13-3.17, 4 Sc 3.26
Ir (0.5030, 0.5000, 0.1899)  4 Sc 2.69-2.70, 4 Cd 2.91-2.92


Record 4
CuNi2AuN | PBE-GGA | optimized geometry

Output
Energy, eV per atom: -5.4330
D(E_F), states/eV per cell: 3.06
ΔE_f (raw), eV per formula unit: 0.10

abc: 3.8028 3.8028 3.9843
angles: 90.00 90.00 90.00
Last column: nearest neighbours and their distance in Å.
Element x y z (fractional)
Cu (0.0000, 0.0000, 0.0000)  2 N 1.99
Ni (0.0000, 0.5000, 0.5000)  2 N 1.90
Ni (0.5000, 0.0000, 0.5000)  2 N 1.90
Au (0.5000, 0.5000, 0.0000)  4 Cu 2.69, 8 Ni 2.75
N (0.0000, 0.0000, 0.5000)  4 Ni 1.90, 2 Cu 1.99


Record 5
Ba2AlSbPd6 | PBE-GGA | optimized geometry

Output
Energy, eV per atom: -4.9160
D(E_F), states/eV per cell: 4.26
ΔE_f (raw), eV per formula unit: -6.29

abc: 6.9351 6.9381 6.9871
angles: 60.63 60.62 60.26
Last column: nearest neighbours and their distance in Å.
Element x y z (fractional)
Ba (0.2197, 0.2195, 0.3410)  9 Pd 3.29-3.66
Ba (0.7803, 0.7805, 0.6590)  9 Pd 3.29-3.66
Al (0.5000, 0.5000, 0.5000)  6 Pd 2.51
Sb (0.0000, 0.0000, 0.0000)  6 Pd 2.60
Pd (0.2535, 0.6493, 0.8398)  1 Al 2.51, 1 Sb 2.60, 2 Pd 2.74
Pd (0.2567, 0.2546, 0.8378)  1 Al 2.51, 1 Sb 2.60, 2 Pd 2.74
Pd (0.3512, 0.7430, 0.1598)  1 Al 2.51, 1 Sb 2.60, 2 Pd 2.74
Pd (0.6488, 0.2570, 0.8402)  1 Al 2.51, 1 Sb 2.60, 2 Pd 2.74
Pd (0.7433, 0.7454, 0.1622)  1 Al 2.51, 1 Sb 2.60, 2 Pd 2.74
Pd (0.7465, 0.3507, 0.1602)  1 Al 2.51, 1 Sb 2.60, 2 Pd 2.74


Record 6
CeCu4Ag | PBE-GGA | optimized geometry

Output
E_form, eV per atom: -0.159
Energy, eV per atom: -4.3537
D(E_F), states/eV per cell: 5.32

abc: 5.1025 5.1025 5.1025
angles: 60.00 60.00 60.00
Last column: nearest neighbours and their distance in Å.
Element x y z (fractional)
Ce (0.0000, 0.0000, 0.0000)  12 Cu 3.00, 4 Ag 3.12
Cu (0.3765, 0.3765, 0.3765)  6 Cu 2.52-2.58
Cu (0.3765, 0.3765, 0.8704)  6 Cu 2.52-2.58
Cu (0.3765, 0.8704, 0.3765)  6 Cu 2.52-2.58
Cu (0.8704, 0.3765, 0.3765)  6 Cu 2.52-2.58
Ag (0.7500, 0.7500, 0.7500)  12 Cu 2.99, 4 Ce 3.12


Record 7
Ba3AgI2 | PBE-GGA | optimized geometry

Output
Energy, eV per atom: -2.9117
D(E_F), states/eV per cell: 10.82
ΔE_f (raw), eV per formula unit: -5.75

abc: 8.4597 8.4597 9.1497
angles: 98.86 98.86 119.81
Last column: nearest neighbours and their distance in Å.
Element x y z (fractional)
Ba (0.0699, 0.4241, 0.7736)  2 Ag 3.36-3.37, 2 I 3.59-3.65
Ba (0.2195, 0.2195, 0.2216)  2 Ag 3.37, 4 I 3.57-3.70
Ba (0.4241, 0.0699, 0.7736)  2 Ag 3.36-3.37, 2 I 3.59-3.65
Ba (0.5759, 0.9301, 0.2264)  2 Ag 3.36-3.37, 2 I 3.59-3.65
Ba (0.7805, 0.7805, 0.7784)  2 Ag 3.37, 4 I 3.57-3.70
Ba (0.9301, 0.5759, 0.2264)  2 Ag 3.36-3.37, 2 I 3.59-3.65
Ag (0.1685, 0.8315, 0.0000)  6 Ba 3.36-3.37
Ag (0.8315, 0.1685, 0.0000)  6 Ba 3.36-3.37
I (0.0000, 0.0000, 0.5000)  6 Ba 3.59-3.76
I (0.3431, 0.6569, 0.5000)  6 Ba 3.65-3.78
I (0.5000, 0.5000, 0.0000)  6 Ba 3.57-3.59
I (0.6569, 0.3431, 0.5000)  6 Ba 3.65-3.78


Record 8
La3Nd2Sb3 | PBE-GGA | optimized geometry

Output
Energy, eV per atom: -5.5778
D(E_F), states/eV per cell: 22.92
ΔE_f (raw), eV per formula unit: -7.94

abc: 9.4768 9.4768 6.6112
angles: 90.00 90.00 120.00
Last column: nearest neighbours and their distance in Å.
Element x y z (fractional)
La (0.0000, 0.2537, 0.2500)  5 Sb 3.23-3.54
La (0.0000, 0.7463, 0.7500)  5 Sb 3.23-3.54
La (0.2537, 0.0000, 0.2500)  5 Sb 3.23-3.54
La (0.2537, 0.2537, 0.7500)  5 Sb 3.23-3.54
La (0.7463, 0.0000, 0.7500)  5 Sb 3.23-3.54
La (0.7463, 0.7463, 0.2500)  5 Sb 3.23-3.54
Nd (0.3333, 0.6667, 0.0000)  2 Nd 3.31, 6 Sb 3.37
Nd (0.3333, 0.6667, 0.5000)  2 Nd 3.31, 6 Sb 3.37
Nd (0.6667, 0.3333, 0.0000)  2 Nd 3.31, 6 Sb 3.37
Nd (0.6667, 0.3333, 0.5000)  2 Nd 3.31, 6 Sb 3.37
Sb (0.0000, 0.3873, 0.7500)  5 La 3.23-3.54, 4 Nd 3.37
Sb (0.0000, 0.6127, 0.2500)  5 La 3.23-3.54, 4 Nd 3.37
Sb (0.3873, 0.0000, 0.7500)  5 La 3.23-3.54, 4 Nd 3.37
Sb (0.3873, 0.3873, 0.2500)  5 La 3.23-3.54, 4 Nd 3.37
Sb (0.6127, 0.0000, 0.2500)  5 La 3.23-3.54, 4 Nd 3.37
Sb (0.6127, 0.6127, 0.7500)  5 La 3.23-3.54, 4 Nd 3.37


Record 9
TmPa3 | PBE-GGA | optimized geometry

Output
Excess energy over the best structure of this formula in the dataset, meV per atom: 223
E_form, eV per atom: 0.352
Energy, eV per atom: -7.8881
D(E_F), states/eV per cell: 10.35

abc: 5.2617 5.2617 5.2617
angles: 60.00 60.00 60.00
Last column: nearest neighbours and their distance in Å.
Element x y z (fractional)
Tm (0.0000, 0.0000, 0.0000)  8 Pa 3.22
Pa (0.2500, 0.2500, 0.2500)  4 Pa 3.22, 4 Tm 3.22
Pa (0.5000, 0.5000, 0.5000)  8 Pa 3.22
Pa (0.7500, 0.7500, 0.7500)  4 Pa 3.22, 4 Tm 3.22


Record 10
ErMg2Co | PBE-GGA | optimized geometry

Output
E_form, eV per atom: 0.555
Energy, eV per atom: -3.1596
D(E_F), states/eV per cell: 4.07

abc: 11.0073 11.0073 11.0073
angles: 15.90 15.90 15.90
Last column: nearest neighbours and their distance in Å.
Element x y z (fractional)
Er (0.0000, 0.0000, 0.0000)  6 Er 3.05, 6 Mg 3.37
Mg (0.4217, 0.4217, 0.4217)  1 Co 2.55
Mg (0.5783, 0.5783, 0.5783)  1 Co 2.55
Co (0.5000, 0.5000, 0.5000)  2 Mg 2.55


Record 11
Er2Be6Pt9 | PBE-GGA | optimized geometry

Output
E_form, eV per atom: -0.826
Energy, eV per atom: -5.8761
D(E_F), states/eV per cell: 4.04

abc: 5.4987 5.4987 10.1607
angles: 90.00 90.00 120.00
Last column: nearest neighbours and their distance in Å.
Element x y z (fractional)
Er (0.0000, 0.0000, 0.1897)  12 Pt 3.11-3.36, 6 Be 3.18
Er (0.0000, 0.0000, 0.8104)  12 Pt 3.11-3.36, 6 Be 3.18
Be (0.3333, 0.6667, 0.1656)  6 Pt 2.31-2.33
Be (0.3333, 0.6667, 0.5000)  6 Pt 2.32
Be (0.3333, 0.6667, 0.8344)  6 Pt 2.31-2.33
Be (0.6667, 0.3333, 0.1656)  6 Pt 2.31-2.33
Be (0.6667, 0.3333, 0.5000)  6 Pt 2.32
Be (0.6667, 0.3333, 0.8344)  6 Pt 2.31-2.33
Pt (0.0000, 0.5000, 0.0000)  4 Be 2.31
Pt (0.0000, 0.5000, 0.3329)  4 Be 2.32-2.33
Pt (0.0000, 0.5000, 0.6671)  4 Be 2.32-2.33
Pt (0.5000, 0.0000, 0.0000)  4 Be 2.31
Pt (0.5000, 0.0000, 0.3329)  4 Be 2.32-2.33
Pt (0.5000, 0.0000, 0.6671)  4 Be 2.32-2.33
Pt (0.5000, 0.5000, 0.0000)  4 Be 2.31
Pt (0.5000, 0.5000, 0.3329)  4 Be 2.32-2.33
Pt (0.5000, 0.5000, 0.6671)  4 Be 2.32-2.33


Record 12
Pm3YTe | PBE-GGA | optimized geometry

Output
Energy, eV per atom: -5.1448
D(E_F), states/eV per cell: 12.90
ΔE_f (raw), eV per formula unit: -1.87

abc: 6.8001 6.8001 9.3693
angles: 96.10 96.10 51.83
Last column: nearest neighbours and their distance in Å.
Element x y z (fractional)
Pm (0.0552, 0.0552, 0.3459)  2 Te 3.15-3.31, 2 Pm 3.33-3.49, 2 Y 3.47
Pm (0.1405, 0.1405, 0.9568)  1 Te 3.23, 1 Pm 3.49
Pm (0.3670, 0.3670, 0.3716)  3 Te 3.13-3.28, 1 Y 3.40
Pm (0.6330, 0.6330, 0.6284)  3 Te 3.13-3.28, 1 Y 3.40
Pm (0.8595, 0.8595, 0.0432)  1 Te 3.23, 1 Pm 3.49
Pm (0.9448, 0.9448, 0.6541)  2 Te 3.15-3.31, 2 Pm 3.33-3.49, 2 Y 3.47
Y (0.4266, 0.4266, 0.8411)  1 Te 3.05, 1 Y 3.29, 1 Pm 3.40
Y (0.5734, 0.5734, 0.1589)  1 Te 3.05, 1 Y 3.29, 1 Pm 3.40
Te (0.2138, 0.2138, 0.6365)  1 Y 3.05, 6 Pm 3.13-3.31
Te (0.7862, 0.7862, 0.3635)  1 Y 3.05, 6 Pm 3.13-3.31